# Rb3Hg2Sb4 PBE relaxed
data_Rb3Hg2Sb4
_space_group_name_H-M_alt 'P 1'
_space_group_IT_number 1
_cell_length_a 5.8069
_cell_length_b 7.0844
_cell_length_c 10.2385
_cell_angle_alpha 99.36
_cell_angle_beta 97.25
_cell_angle_gamma 109.78
loop_
_space_group_symop_operation_xyz
'x,y,z'
loop_
_atom_site_label
_atom_site_type_symbol
_atom_site_fract_x
_atom_site_fract_y
_atom_site_fract_z
Rb1 Rb 0.0000 0.0000 0.0000
Rb2 Rb 0.3266 0.7704 0.6269
Rb3 Rb 0.6734 0.2296 0.3731
Hg1 Hg 0.3391 0.6758 0.2555
Hg2 Hg 0.6609 0.3242 0.7445
Sb1 Sb 0.1182 0.2493 0.6989
Sb2 Sb 0.2884 0.5566 0.9502
Sb3 Sb 0.7116 0.4434 0.0498
Sb4 Sb 0.8818 0.7507 0.3011
# ΔE_f (raw)	-0.2491	eV per atom

# TcBr PBE relaxed
data_TcBr
_space_group_name_H-M_alt 'P 1'
_space_group_IT_number 1
_cell_length_a 3.1692
_cell_length_b 3.3704
_cell_length_c 8.8010
_cell_angle_alpha 90.00
_cell_angle_beta 99.46
_cell_angle_gamma 90.00
loop_
_space_group_symop_operation_xyz
'x,y,z'
loop_
_atom_site_label
_atom_site_type_symbol
_atom_site_fract_x
_atom_site_fract_y
_atom_site_fract_z
Tc1 Tc 0.0409 0.2500 0.0898
Tc2 Tc 0.9591 0.7500 0.9102
Br1 Br 0.3688 0.2500 0.7121
Br2 Br 0.6312 0.7500 0.2879
# ΔE_f (raw)	0.3311	eV per atom

# K5Na6Sn PBE relaxed
data_K5Na6Sn
_space_group_name_H-M_alt 'P 1'
_space_group_IT_number 1
_cell_length_a 10.2362
_cell_length_b 10.2362
_cell_length_c 9.4628
_cell_angle_alpha 90.06
_cell_angle_beta 90.06
_cell_angle_gamma 145.44
loop_
_space_group_symop_operation_xyz
'x,y,z'
loop_
_atom_site_label
_atom_site_type_symbol
_atom_site_fract_x
_atom_site_fract_y
_atom_site_fract_z
K1 K 0.0000 0.0000 0.0000
K2 K 0.3237 0.6763 0.0000
K3 K 0.3262 0.6738 0.5000
K4 K 0.6738 0.3262 0.5000
K5 K 0.6763 0.3237 0.0000
Na1 Na 0.1295 0.8692 0.2877
Na2 Na 0.1308 0.8705 0.7123
Na3 Na 0.4991 0.4991 0.6870
Na4 Na 0.5009 0.5009 0.3130
Na5 Na 0.8692 0.1295 0.2877
Na6 Na 0.8705 0.1308 0.7123
Sn1 Sn 0.0000 0.0000 0.5000
# ΔE_f	-0.003	eV per atom

# LiNiSbI2 PBE relaxed
data_LiNiSbI2
_space_group_name_H-M_alt 'P 1'
_space_group_IT_number 1
_cell_length_a 5.3045
_cell_length_b 5.3045
_cell_length_c 5.0988
_cell_angle_alpha 90.00
_cell_angle_beta 90.00
_cell_angle_gamma 90.00
loop_
_space_group_symop_operation_xyz
'x,y,z'
loop_
_atom_site_label
_atom_site_type_symbol
_atom_site_fract_x
_atom_site_fract_y
_atom_site_fract_z
Li1 Li 0.0000 0.0000 0.0000
Ni1 Ni 0.5000 0.5000 0.5000
Sb1 Sb 0.0000 0.0000 0.5000
I1 I 0.0000 0.5000 0.0000
I2 I 0.5000 0.0000 0.0000
# ΔE_f (raw)	0.6505	eV per atom

# IrRuSeN2 PBE relaxed
data_IrRuSeN2
_space_group_name_H-M_alt 'P 1'
_space_group_IT_number 1
_cell_length_a 3.6957
_cell_length_b 3.6957
_cell_length_c 6.6205
_cell_angle_alpha 90.00
_cell_angle_beta 90.00
_cell_angle_gamma 90.00
loop_
_space_group_symop_operation_xyz
'x,y,z'
loop_
_atom_site_label
_atom_site_type_symbol
_atom_site_fract_x
_atom_site_fract_y
_atom_site_fract_z
Ir1 Ir 0.0000 0.0000 0.0000
Ru1 Ru 0.5000 0.5000 0.5000
Se1 Se 0.0000 0.0000 0.5000
N1 N 0.0000 0.5000 0.0000
N2 N 0.5000 0.0000 0.0000
# ΔE_f (raw)	1.1672	eV per atom

# NiRu2Rh PBE relaxed
data_NiRu2Rh
_space_group_name_H-M_alt 'P 1'
_space_group_IT_number 1
_cell_length_a 4.6283
_cell_length_b 4.6283
_cell_length_c 2.6705
_cell_angle_alpha 90.00
_cell_angle_beta 90.00
_cell_angle_gamma 110.50
loop_
_space_group_symop_operation_xyz
'x,y,z'
loop_
_atom_site_label
_atom_site_type_symbol
_atom_site_fract_x
_atom_site_fract_y
_atom_site_fract_z
Ni1 Ni 0.0000 0.0000 0.0000
Ru1 Ru 0.0000 0.5000 0.5000
Ru2 Ru 0.5000 0.0000 0.5000
Rh1 Rh 0.5000 0.5000 0.0000
# ΔE_f	0.158	eV per atom

# Rb2CuBiCl6 PBE relaxed
data_Rb2CuBiCl6
_space_group_name_H-M_alt 'P 1'
_space_group_IT_number 1
_cell_length_a 7.3472
_cell_length_b 7.4090
_cell_length_c 7.4152
_cell_angle_alpha 119.92
_cell_angle_beta 90.65
_cell_angle_gamma 118.94
loop_
_space_group_symop_operation_xyz
'x,y,z'
loop_
_atom_site_label
_atom_site_type_symbol
_atom_site_fract_x
_atom_site_fract_y
_atom_site_fract_z
Rb1 Rb 0.2486 0.4934 0.2493
Rb2 Rb 0.7514 0.5066 0.7507
Cu1 Cu 0.5000 0.0000 0.0000
Bi1 Bi 0.0000 0.0000 0.5000
Cl1 Cl 0.2254 0.9604 0.7618
Cl2 Cl 0.2551 0.5136 0.7982
Cl3 Cl 0.2990 0.0425 0.2794
Cl4 Cl 0.7010 0.9575 0.7206
Cl5 Cl 0.7449 0.4864 0.2018
Cl6 Cl 0.7746 0.0396 0.2382
# ΔE_f (raw)	-1.2748	eV per atom

# NaSc2PbO PBE relaxed
data_NaSc2PbO
_space_group_name_H-M_alt 'P 1'
_space_group_IT_number 1
_cell_length_a 4.4496
_cell_length_b 4.4496
_cell_length_c 4.6641
_cell_angle_alpha 90.00
_cell_angle_beta 90.00
_cell_angle_gamma 90.00
loop_
_space_group_symop_operation_xyz
'x,y,z'
loop_
_atom_site_label
_atom_site_type_symbol
_atom_site_fract_x
_atom_site_fract_y
_atom_site_fract_z
Na1 Na 0.0000 0.0000 0.0000
Sc1 Sc 0.0000 0.5000 0.5000
Sc2 Sc 0.5000 0.0000 0.5000
Pb1 Pb 0.5000 0.5000 0.0000
O1 O 0.0000 0.0000 0.5000
# ΔE_f (raw)	-1.2918	eV per atom

# La6Te3As2P PBE relaxed
data_La6Te3As2P
_space_group_name_H-M_alt 'P 1'
_space_group_IT_number 1
_cell_length_a 10.0544
_cell_length_b 10.0544
_cell_length_c 9.0194
_cell_angle_alpha 104.71
_cell_angle_beta 104.71
_cell_angle_gamma 25.38
loop_
_space_group_symop_operation_xyz
'x,y,z'
loop_
_atom_site_label
_atom_site_type_symbol
_atom_site_fract_x
_atom_site_fract_y
_atom_site_fract_z
La1 La 0.0047 0.0047 0.2280
La2 La 0.3280 0.3280 0.4313
La3 La 0.3428 0.3428 0.9057
La4 La 0.6572 0.6572 0.0943
La5 La 0.6720 0.6720 0.5687
La6 La 0.9953 0.9953 0.7720
Te1 Te 0.1681 0.1681 0.8337
Te2 Te 0.5000 0.5000 0.5000
Te3 Te 0.8319 0.8319 0.1663
As1 As 0.1664 0.1664 0.3329
As2 As 0.8336 0.8336 0.6671
P1 P 0.5000 0.5000 0.0000
# ΔE_f (raw)	-1.6534	eV per atom

# NaTlGaAg PBE relaxed
data_NaTlGaAg
_space_group_name_H-M_alt 'P 1'
_space_group_IT_number 1
_cell_length_a 5.0094
_cell_length_b 5.0094
_cell_length_c 5.0094
_cell_angle_alpha 60.00
_cell_angle_beta 60.00
_cell_angle_gamma 60.00
loop_
_space_group_symop_operation_xyz
'x,y,z'
loop_
_atom_site_label
_atom_site_type_symbol
_atom_site_fract_x
_atom_site_fract_y
_atom_site_fract_z
Na1 Na 0.0000 0.0000 0.0000
Tl1 Tl 0.7500 0.7500 0.7500
Ga1 Ga 0.5000 0.5000 0.5000
Ag1 Ag 0.2500 0.2500 0.2500
# ΔE_f	0.015	eV per atom

# HfZrHg2 PBE relaxed
data_HfZrHg2
_space_group_name_H-M_alt 'P 1'
_space_group_IT_number 1
_cell_length_a 6.2044
_cell_length_b 6.2044
_cell_length_c 6.2044
_cell_angle_alpha 42.73
_cell_angle_beta 42.73
_cell_angle_gamma 42.73
loop_
_space_group_symop_operation_xyz
'x,y,z'
loop_
_atom_site_label
_atom_site_type_symbol
_atom_site_fract_x
_atom_site_fract_y
_atom_site_fract_z
Hf1 Hf 0.0000 0.0000 0.0000
Zr1 Zr 0.8085 0.8085 0.8085
Hg1 Hg 0.4021 0.4021 0.4021
Hg2 Hg 0.5862 0.5862 0.5862
# ΔE_f	0.306	eV per atom

# Ti4TePb PBE relaxed
data_Ti4TePb
_space_group_name_H-M_alt 'P 1'
_space_group_IT_number 1
_cell_length_a 5.2994
_cell_length_b 5.7782
_cell_length_c 7.9702
_cell_angle_alpha 90.00
_cell_angle_beta 98.43
_cell_angle_gamma 90.00
loop_
_space_group_symop_operation_xyz
'x,y,z'
loop_
_atom_site_label
_atom_site_type_symbol
_atom_site_fract_x
_atom_site_fract_y
_atom_site_fract_z
Ti1 Ti 0.1630 0.0102 0.1535
Ti2 Ti 0.1630 0.4898 0.1535
Ti3 Ti 0.2089 0.2500 0.4570
Ti4 Ti 0.2992 0.7500 0.7986
Ti5 Ti 0.7008 0.2500 0.2014
Ti6 Ti 0.7911 0.7500 0.5430
Ti7 Ti 0.8370 0.5102 0.8465
Ti8 Ti 0.8370 0.9898 0.8465
Te1 Te 0.2681 0.7500 0.4501
Te2 Te 0.7319 0.2500 0.5499
Pb1 Pb 0.3365 0.2500 0.8635
Pb2 Pb 0.6635 0.7500 0.1365
# ΔE_f (raw)	-0.1650	eV per atom